[1]
VASP calculation (PBE-GGA) on a relaxed MgCu5 crystal.

Properties
theoretical density = 7.3 g/cm3
total moment = 0.0 μB per formula unit
calculated formation energy = 0.0087 eV/atom

POSCAR file:
```
MgCu5
1.0
2.6572 0.0000 0.0000
1.3286 6.8224 0.0000
0.0000 0.0000 4.2857
Cu Mg
5 1
Cartesian
1.3286 2.3502 0.0000
1.3286 6.7586 0.0000
2.6572 6.0032 2.1428
2.6572 4.5332 0.0000
1.3286 3.8566 2.1428
2.6572 1.5137 2.1428
```

***

[2]
VASP calculation (PBE-GGA) on a relaxed PmPuFeIr crystal.

Properties
theoretical density = 12.9 g/cm3
total moment = 3.4 μB per formula unit
calculated formation energy = -0.1816 eV/atom

POSCAR file:
```
PmPuFeIr
1.0
4.8747 0.0000 0.0000
2.4373 4.2216 0.0000
2.4373 1.4072 3.9801
Pu Fe Pm Ir
1 1 1 1
Cartesian
7.3120 4.2216 2.9851
4.8747 2.8144 1.9901
2.4373 1.4072 0.9950
0.0000 0.0000 0.0000
```

***

[3]
VASP calculation (PBE-GGA) on a relaxed CaBiNF2 crystal.

Properties
formation energy from raw total energies = -1308 meV/atom
theoretical density = 5.7 g/cm3
total moment = 0.0 μB per formula unit
energy above the lowest structure with this stoichiometry = 0.000 eV per atom

POSCAR file:
```
CaBiNF2
1.0
4.1273 0.0000 0.0000
0.0000 4.1273 0.0000
0.0000 0.0000 5.1468
Bi F N Ca
1 2 1 1
Cartesian
2.0636 2.0636 2.5734
0.0000 2.0636 0.0000
2.0636 0.0000 0.0000
0.0000 0.0000 2.5734
0.0000 0.0000 0.0000
```